[1]
This record from Alexandria describes an optimized crystal structure of Nd3InNi. The functional is GGA-PBE.

Computed properties:
- DOS(E_F) (states/eV/cell) = 10.47
- ΔE_f (meV per atom) = -275.2
- space-group type = No. 194
- relative energy among the computed polymorphs (eV/f.u.) = 0.00

Cell lengths 5.419, 7.767, 7.767 Å; angles 119.99, 90.00, 90.00 degrees
Positions (direct):
1 In 0.250 0.333 0.667
2 In 0.750 0.667 0.333
3 Nd 0.750 0.182 0.818
4 Nd 0.250 0.818 0.636
5 Nd 0.750 0.182 0.364
6 Nd 0.750 0.636 0.818
7 Nd 0.250 0.364 0.182
8 Nd 0.250 0.818 0.182
9 Ni 0.500 0.000 0.000
10 Ni 0.000 0.000 0.000

***

[2]
This record from Alexandria describes an optimized crystal structure of Sr2HfTlO6. The functional is GGA-PBE.

Computed properties:
- DOS(E_F) (states/eV/cell) = 15.50
- formation energy from raw total energies (eV/atom) = -2.3416
- space-group type = No. 14

Cell lengths 5.890, 6.015, 8.364 Å; angles 90.00, 90.20, 90.00 degrees
Site moments in Bohr magnetons follow the coordinates.
Positions (direct):
1 O 0.306 0.720 0.052  0.16
2 O 0.694 0.280 0.948  0.16
3 O 0.908 0.534 0.261  0.16
4 O 0.216 0.196 0.045  0.13
5 O 0.284 0.696 0.455  0.13
6 O 0.592 0.034 0.239  0.16
7 O 0.716 0.304 0.545  0.13
8 O 0.806 0.780 0.552  0.16
9 O 0.784 0.804 0.955  0.13
10 O 0.092 0.466 0.739  0.16
11 O 0.408 0.966 0.761  0.16
12 O 0.194 0.220 0.448  0.16
13 Sr 0.988 0.046 0.752  0.00
14 Sr 0.488 0.454 0.252  0.00
15 Sr 0.012 0.954 0.248  0.00
16 Sr 0.512 0.546 0.748  0.00
17 Tl 0.000 0.500 0.000  0.02
18 Tl 0.500 0.000 0.500  0.02
19 Hf 0.000 0.500 0.500  0.00
20 Hf 0.500 0.000 0.000  0.00

***

[3]
This record from Alexandria describes an optimized crystal structure of IrC2. The functional is GGA-PBE.

Computed properties:
- DOS(E_F) (states/eV/cell) = 2.97
- ΔE_f (meV per atom) = 642.6
- space-group type = No. 65
- relative energy among the computed polymorphs (eV/f.u.) = 0.16

Cell lengths 8.173, 2.567, 2.707 Å; angles 90.00, 90.00, 90.00 degrees
Positions (direct):
1 C 0.295 0.500 0.000
2 C 0.795 0.000 0.000
3 C 0.705 0.500 0.000
4 C 0.205 0.000 0.000
5 Ir 0.500 0.500 0.500
6 Ir 0.000 0.000 0.500

***

[4]
This record from Alexandria describes an optimized crystal structure of PdWI2N. The functional is GGA-PBE.

Computed properties:
- DOS(E_F) (states/eV/cell) = 4.35
- formation energy from raw total energies (eV/atom) = 0.5842
- space-group type = No. 123
- relative energy among the computed polymorphs (eV/f.u.) = 0.00

Cell lengths 5.600, 5.600, 3.817 Å; angles 90.00, 90.00, 90.00 degrees
Site moments in Bohr magnetons follow the coordinates.
Positions (direct):
1 W 0.000 0.000 0.000  0.98
2 N 0.000 0.000 0.500  -0.09
3 I 0.000 0.500 0.000  -0.02
4 I 0.500 0.000 0.000  -0.02
5 Pd 0.500 0.500 0.500  -0.17